Computed, not measured: a relaxed structure of K2Na2MnH6 at the GGA-PBE level of DFT.

a b c (Å): 6.241 10.886 5.532
angles (deg): 90.00 97.96 90.00
Space group C2/m (No. 12)
Asymmetric unit:
K  0.000  0.158  0.000 (multiplicity 4)
Na  0.000  0.375  0.500 (multiplicity 4)
Mn  0.000  0.500  0.000 (multiplicity 2)
H  0.138  0.385  0.158 (multiplicity 8)
H  0.182  0.500  0.799 (multiplicity 4)

Results
DOS(E_F), states/eV/atom: 0.4134
DFT total energy, eV/atom: -3.156
V, Å³ per cell: 372

Computed, not measured: a relaxed structure of ErIn2Ru at the GGA-PBE level of DFT.

a b c (Å): 4.205 4.205 4.712
angles (deg): 90.00 90.00 90.00
Space group P4/mmm (No. 123)
Asymmetric unit:
Er  0.000  0.000  0.000 (multiplicity 1)
In  0.000  0.500  0.500 (multiplicity 2)
Ru  0.500  0.500  0.000 (multiplicity 1)

Results
DOS(E_F), states/eV/atom: 0.8062
ΔE_f, eV per atom: -0.15
V, Å³ per cell: 83

Computed, not measured: a relaxed structure of YPd15Pb4 at the GGA-PBE level of DFT.

a b c (Å): 4.116 4.116 20.564
angles (deg): 90.00 90.00 90.00
Space group P4/mmm (No. 123)
Asymmetric unit:
Y  0.000  0.000  0.000 (multiplicity 1)
Pd  0.000  0.500  0.101 (multiplicity 4)
Pd  0.000  0.500  0.300 (multiplicity 4)
Pd  0.000  0.500  0.500 (multiplicity 2)
Pd  0.500  0.500  0.000 (multiplicity 1)
Pd  0.500  0.500  0.201 (multiplicity 2)
Pd  0.500  0.500  0.400 (multiplicity 2)
Pb  0.000  0.000  0.201 (multiplicity 2)
Pb  0.000  0.000  0.400 (multiplicity 2)

Results
DOS(E_F), states/eV/atom: 0.1994
ΔE_f, eV per atom: -0.40
V, Å³ per cell: 348

Computed, not measured: a relaxed structure of TeRuN3 at the GGA-PBE level of DFT.

a b c (Å): 3.920 3.920 3.920
angles (deg): 90.00 90.00 90.00
Space group Pm-3m (No. 221)
Asymmetric unit:
Te  0.000  0.000  0.000 (multiplicity 1)
Ru  0.500  0.500  0.500 (multiplicity 1)
N  0.000  0.000  0.500 (multiplicity 3)

Results
DOS(E_F), states/eV/atom: 0.7249
Formation energy (no corrections), eV per atom: 2.129
V, Å³ per cell: 60

Computed, not measured: a relaxed structure of Rb2Cd2Te2Se at the GGA-PBE level of DFT.

a b c (Å): 15.349 4.678 8.880
angles (deg): 90.00 122.83 90.00
Space group C2/m (No. 12)
Asymmetric unit:
Rb  0.060  0.000  0.317 (multiplicity 4)
Cd  0.192  0.500  0.074 (multiplicity 4)
Te  0.186  0.500  0.735 (multiplicity 4)
Se  0.000  0.500  0.000 (multiplicity 2)

Results
Formation energy (no corrections), eV per atom: -0.796
V, Å³ per cell: 536

Computed, not measured: a relaxed structure of TaReW2 at the GGA-PBE level of DFT.

a b c (Å): 3.196 4.494 4.533
angles (deg): 90.00 90.00 90.00
Space group Pmmm (No. 47)
Asymmetric unit:
Ta  0.000  0.000  0.000 (multiplicity 1)
Re  0.500  0.500  0.000 (multiplicity 1)
W  0.000  0.500  0.500 (multiplicity 1)
W  0.500  0.000  0.500 (multiplicity 1)

Results
Polymorph energy (0 for the lowest one), meV/atom: 0
DOS(E_F), states/eV/atom: 0.4166
ΔE_f, eV per atom: -0.15
V, Å³ per cell: 65

Computed, not measured: a relaxed structure of HfBeRePt2 at the GGA-PBE level of DFT.

a b c (Å): 4.201 4.201 4.319
angles (deg): 90.00 90.00 90.00
Space group P4/mmm (No. 123)
Asymmetric unit:
Hf  0.000  0.000  0.000 (multiplicity 1)
Be  0.500  0.500  0.500 (multiplicity 1)
Re  0.500  0.500  0.000 (multiplicity 1)
Pt  0.000  0.500  0.500 (multiplicity 2)

Results
DOS(E_F), states/eV/atom: 0.7654
ΔE_f, eV per atom: -0.31
V, Å³ per cell: 76

Computed, not measured: a relaxed structure of Pm2SmTh at the GGA-PBE level of DFT.

a b c (Å): 8.143 8.143 8.143
angles (deg): 90.00 90.00 90.00
Space group Fm-3m (No. 225)
Asymmetric unit:
Pm  0.250  0.250  0.250 (multiplicity 8)
Sm  0.000  0.000  0.000 (multiplicity 4)
Th  0.000  0.000  0.500 (multiplicity 4)

Results
Polymorph energy (0 for the lowest one), meV/atom: 169
DOS(E_F), states/eV/atom: 2.6152
ΔE_f, eV per atom: 0.19
V, Å³ per cell: 540

Computed, not measured: a relaxed structure of LaBeW2 at the GGA-PBE level of DFT.

a b c (Å): 2.705 4.896 10.770
angles (deg): 90.00 90.00 90.00
Space group Immm (No. 71)
Asymmetric unit:
La  0.000  0.000  0.000 (multiplicity 2)
Be  0.000  0.000  0.500 (multiplicity 2)
W  0.000  0.500  0.201 (multiplicity 4)

Results
DOS(E_F), states/eV/atom: 0.9086
ΔE_f, eV per atom: 0.63
V, Å³ per cell: 143

Computed, not measured: a relaxed structure of Ta2Be9Cr at the GGA-PBE level of DFT.

a b c (Å): 4.4899 4.4899 13.8268
angles (deg): 90.00 90.00 120.00
Space group P6_3/mmc (No. 194)
Asymmetric unit:
Ta  0.3333  0.6667  0.0397 (multiplicity 4)
Be  0.0000  0.0000  0.0000 (multiplicity 2)
Be  0.0000  0.0000  0.2500 (multiplicity 2)
Be  0.1682  0.3364  0.6290 (multiplicity 12)
Be  0.3333  0.6667  0.7500 (multiplicity 2)
Cr  0.3333  0.6667  0.2500 (multiplicity 2)

Results
Polymorph energy (0 for the lowest one), meV/atom: 6
DOS(E_F), states/eV/atom: 0.2594
ΔE_f, eV per atom: -0.12
V, Å³ per cell: 241

Computed, not measured: a relaxed structure of Mn2ZnPt at the GGA-PBE level of DFT.

a b c (Å): 3.897 3.897 7.678
angles (deg): 90.00 90.00 90.00
Space group I-4m2 (No. 119)
Asymmetric unit:
Mn  0.000  0.000  0.000 (multiplicity 2)
Mn  0.000  0.500  0.250 (multiplicity 2)
Zn  0.000  0.500  0.750 (multiplicity 2)
Pt  0.000  0.000  0.500 (multiplicity 2)

Results
DOS(E_F), states/eV/atom: 0.7208
ΔE_f, eV per atom: -0.16
V, Å³ per cell: 117

Computed, not measured: a relaxed structure of Hf6Ga2Tc at the GGA-PBE level of DFT.

a b c (Å): 6.758 6.758 9.247
angles (deg): 90.00 90.00 90.00
Space group P4_2/mnm (No. 136)
Asymmetric unit:
Hf  0.228  0.228  0.166 (multiplicity 8)
Hf  0.229  0.229  0.500 (multiplicity 4)
Ga  0.000  0.000  0.328 (multiplicity 4)
Tc  0.000  0.000  0.000 (multiplicity 2)

Results
DOS(E_F), states/eV/atom: 0.6201
ΔE_f, eV per atom: 0.32
V, Å³ per cell: 422

Computed, not measured: a relaxed structure of NdSmI2 at the GGA-PBE level of DFT.

a b c (Å): 3.8768 3.8768 29.1912
angles (deg): 90.00 90.00 120.00
Space group R3m (No. 160, hexagonal axes)
Asymmetric unit:
Nd  0.0000  0.0000  0.0000 (multiplicity 3)
Sm  0.0000  0.0000  0.8370 (multiplicity 3)
I  0.0000  0.0000  0.2514 (multiplicity 3)
I  0.0000  0.0000  0.4194 (multiplicity 3)

Results
Polymorph energy (0 for the lowest one), meV/atom: 0
DOS(E_F), states/eV/atom: 0.4649
Formation energy (no corrections), eV per atom: -0.838
V, Å³ per cell: 380

Computed, not measured: a relaxed structure of Ta2ZnMo at the GGA-PBE level of DFT.

a b c (Å): 9.982 3.371 4.464
angles (deg): 90.00 116.28 90.00
Space group Cm (No. 8)
Asymmetric unit:
Ta  0.000  0.000  0.000 (multiplicity 2)
Ta  0.244  0.000  0.744 (multiplicity 2)
Zn  0.485  0.000  0.485 (multiplicity 2)
Mo  0.235  0.500  0.236 (multiplicity 2)

Results
DOS(E_F), states/eV/atom: 0.8093
ΔE_f, eV per atom: 0.08
V, Å³ per cell: 135

Computed, not measured: a relaxed structure of PmGeHAu at the GGA-PBE level of DFT.

a b c (Å): 4.4184 4.4184 4.1447
angles (deg): 90.00 90.00 120.00
Space group P3m1 (No. 156)
Asymmetric unit:
Pm  0.0000  0.0000  0.0000 (multiplicity 1)
Ge  0.6667  0.3333  0.5573 (multiplicity 1)
H  0.3333  0.6667  0.0336 (multiplicity 1)
Au  0.3333  0.6667  0.4699 (multiplicity 1)

Results
DOS(E_F), states/eV/atom: 0.3503
DFT total energy, eV/atom: -4.577
V, Å³ per cell: 70

Computed, not measured: a relaxed structure of In2RePt at the GGA-PBE level of DFT.

a b c (Å): 3.995 3.995 9.049
angles (deg): 90.00 90.00 90.00
Space group I-4m2 (No. 119)
Asymmetric unit:
In  0.000  0.000  0.000 (multiplicity 2)
In  0.000  0.500  0.250 (multiplicity 2)
Re  0.000  0.000  0.500 (multiplicity 2)
Pt  0.000  0.500  0.750 (multiplicity 2)

Results
Polymorph energy (0 for the lowest one), meV/atom: 208
DOS(E_F), states/eV/atom: 1.0855
ΔE_f, eV per atom: 0.36
V, Å³ per cell: 144

Computed, not measured: a relaxed structure of SrTlN at the GGA-PBE level of DFT.

a b c (Å): 7.038 4.068 6.431
angles (deg): 90.00 111.32 90.00
Space group Cm (No. 8)
Asymmetric unit:
Sr  0.000  0.000  0.000 (multiplicity 2)
Tl  0.001  0.500  0.507 (multiplicity 2)
N  0.119  0.500  0.858 (multiplicity 2)

Results
Polymorph energy (0 for the lowest one), meV/atom: 214
Formation energy (no corrections), eV per atom: -0.161
V, Å³ per cell: 172

Computed, not measured: a relaxed structure of Mg13Al2 at the GGA-PBE level of DFT.

a b c (Å): 8.1915 8.1915 22.1640
angles (deg): 90.00 90.00 120.00
Space group R-3m (No. 166, hexagonal axes)
Asymmetric unit:
Mg  0.0000  0.0000  0.0000 (multiplicity 3)
Mg  0.0792  0.5396  0.5593 (multiplicity 18)
Mg  0.0917  0.5459  0.3122 (multiplicity 18)
Al  0.0000  0.0000  0.2262 (multiplicity 6)

Results
DOS(E_F), states/eV/atom: 0.5845
ΔE_f, eV per atom: 0.27
V, Å³ per cell: 1288

Computed, not measured: a relaxed structure of Mg7Si4 at the GGA-PBE level of DFT.

a b c (Å): 3.325 9.509 14.037
angles (deg): 93.31 90.18 90.22
Space group P1 (No. 1)
Asymmetric unit:
Mg  0.000  0.000  0.000 (multiplicity 1)
Mg  0.000  0.162  0.515 (multiplicity 1)
Mg  0.000  0.296  0.912 (multiplicity 1)
Mg  0.002  0.206  0.293 (multiplicity 1)
Mg  0.004  0.842  0.509 (multiplicity 1)
Mg  0.005  0.585  0.133 (multiplicity 1)
Mg  0.493  0.294  0.712 (multiplicity 1)
Mg  0.497  0.716  0.664 (multiplicity 1)
Mg  0.501  0.271  0.108 (multiplicity 1)
Mg  0.501  0.919  0.180 (multiplicity 1)
Mg  0.991  0.477  0.578 (multiplicity 1)
Mg  0.993  0.739  0.314 (multiplicity 1)
Mg  0.995  0.997  0.702 (multiplicity 1)
Mg  0.998  0.582  0.823 (multiplicity 1)
Si  0.488  0.613  0.445 (multiplicity 1)
Si  0.490  0.359  0.432 (multiplicity 1)
Si  0.497  0.835  0.845 (multiplicity 1)
Si  0.498  0.087  0.851 (multiplicity 1)
Si  0.500  0.476  0.280 (multiplicity 1)
Si  0.500  0.757  0.003 (multiplicity 1)
Si  0.503  0.504  0.980 (multiplicity 1)
Si  0.531  0.991  0.378 (multiplicity 1)

Results
Polymorph energy (0 for the lowest one), meV/atom: 96
DOS(E_F), states/eV/atom: 0.3667
Formation energy (no corrections), eV per atom: 0.112
V, Å³ per cell: 443